An optimized crystal structure of SmTh2Rh. Source: the Alexandria database, functional PBE-GGA.

a b c (Å): 3.906 3.906 9.495
angles (deg): 78.13 78.13 60.00
Fractional coordinates of all 4 atoms:
1 Sm 0.499 0.499 0.503
2 Th 0.271 0.271 0.188
3 Rh 0.667 0.667 0.000
4 Th 0.063 0.063 0.810

Computed properties:
Space-group type = R3m, No. 160
Total magnetization = 0.00 μB per formula unit
ΔE_f = -0.3182 eV/atom

***

An optimized crystal structure of SmTh2Rh. Source: the Alexandria database, functional PBE-GGA.

a b c (Å): 3.818 6.266 9.994
angles (deg): 90.00 90.00 107.66
Fractional coordinates of all 8 atoms:
1 Th 0.638 0.276 0.059
2 Rh 0.206 0.411 0.250
3 Th 0.362 0.724 0.559
4 Rh 0.794 0.589 0.750
5 Th 0.362 0.724 0.941
6 Sm 0.918 0.834 0.250
7 Th 0.638 0.276 0.441
8 Sm 0.082 0.166 0.750

Computed properties:
Space-group type = P2_1/m, No. 11
Total magnetization = 0.00 μB per formula unit
ΔE_f = -0.4584 eV/atom

***

An optimized crystal structure of SmThRh2. Source: the Alexandria database, functional PBE-GGA.

a b c (Å): 3.864 4.314 5.779
angles (deg): 90.00 109.70 90.00
Fractional coordinates of all 4 atoms:
1 Rh 0.175 0.500 0.890
2 Th 0.720 0.000 0.980
3 Rh 0.990 0.000 0.519
4 Sm 0.445 0.500 0.429

Computed properties:
Space-group type = Pm, No. 6
Total magnetization = 0.00 μB per formula unit
ΔE_f = -0.8671 eV/atom

***

An optimized crystal structure of Sm2ThRh9. Source: the Alexandria database, functional PBE-GGA.

a b c (Å): 5.297 5.297 9.389
angles (deg): 73.62 73.62 60.00
Fractional coordinates of all 12 atoms:
1 Rh 0.418 0.418 0.247
2 Th 0.000 0.000 0.000
3 Rh 0.582 0.082 0.753
4 Rh 0.418 0.918 0.247
5 Sm 0.860 0.860 0.419
6 Rh 0.500 0.500 0.500
7 Rh 0.667 0.667 0.999
8 Rh 0.333 0.333 0.001
9 Rh 0.582 0.582 0.753
10 Rh 0.918 0.418 0.247
11 Sm 0.140 0.140 0.581
12 Rh 0.082 0.582 0.753

Computed properties:
Space-group type = R-3m, No. 166
Total magnetization = 0.00 μB per formula unit
ΔE_f = -0.5866 eV/atom